{
  "formula": "Li2MnRu",
  "functional": "PBE",
  "state": "optimized geometry",
  "lattice": [[-0.246, -0.044, -2.571], [-1.128, -1.898, 1.340], [-7.744, 5.066, 0.655]],
  "species": ["Li", "Li", "Ru", "Mn"],
  "fractional_positions": [[0.000, 0.000, 0.505], [0.000, 0.000, 0.995], [0.500, 0.500, 0.750], [0.500, 0.500, 0.250]],
  "formation_energy_ev_per_atom": 0.280,
  "magmom_total_mub_per_fu": 2.82,
  "dft_energy_ev_per_atom": -5.29
}

{
  "formula": "Cr2SiW",
  "functional": "PBE",
  "state": "optimized geometry",
  "lattice": [[2.646, 0.002, 0.000], [-0.820, 2.515, 0.000], [0.000, 0.000, 7.893]],
  "species": ["Si", "W", "Cr", "Cr"],
  "fractional_positions": [[0.500, 0.500, 0.250], [0.500, 0.500, 0.750], [0.000, 0.000, 0.016], [0.000, 0.000, 0.484]],
  "e_form_raw_ev_per_atom": 0.027,
  "magmom_total_mub_per_fu": 0.00,
  "dft_energy_ev_per_atom": -9.38
}

{
  "formula": "TiNiTeN2",
  "functional": "PBE",
  "state": "optimized geometry",
  "lattice": [[3.814, 0.000, 0.000], [0.000, 3.814, 0.000], [0.000, 0.000, 5.954]],
  "species": ["N", "N", "Ni", "Te", "Ti"],
  "fractional_positions": [[0.000, 0.500, 0.000], [0.500, 0.000, 0.000], [0.500, 0.500, 0.500], [0.000, 0.000, 0.500], [0.000, 0.000, 0.000]],
  "e_form_raw_ev_per_atom": 0.534,
  "magmom_total_mub_per_fu": 0.00,
  "dft_energy_ev_per_atom": -6.16
}

{
  "formula": "MgCdPb",
  "functional": "PBE",
  "state": "optimized geometry",
  "lattice": [[5.647, -0.011, -0.255], [-1.984, 4.304, -0.181], [-3.711, 1.162, 6.422]],
  "species": ["Mg", "Mg", "Cd", "Cd", "Pb", "Pb"],
  "fractional_positions": [[0.133, 0.545, 0.439], [0.142, 0.879, 0.781], [0.637, 0.212, 0.610], [0.137, 0.212, 0.110], [0.641, 0.872, 0.294], [0.634, 0.553, 0.926]],
  "formation_energy_ev_per_atom": 0.011,
  "magmom_total_mub_per_fu": 0.00,
  "dft_energy_ev_per_atom": -2.06
}